VASP calculation (PBE-GGA) on a geometry-optimized Nd2CdNi4Sn3 structure.

```
data_Nd2CdNi4Sn3
_cell_length_a 4.4571
_cell_length_b 4.4571
_cell_length_c 10.1586
_cell_angle_alpha 90.00
_cell_angle_beta 90.00
_cell_angle_gamma 90.00
_space_group_name_H-M_alt 'P -4 m 2'
_space_group_IT_number 115
loop_
_space_group_symop_operation_xyz
'x,y,z'
'y,-x,-z'
'-x,-y,z'
'-y,x,-z'
'-x,y,z'
'-y,-x,-z'
'x,-y,z'
'y,x,-z'
loop_
_atom_site_label
_atom_site_fract_x
_atom_site_fract_y
_atom_site_fract_z
_atom_site_occupancy
Nd1 0.0000 0.5000 0.2375 1
Cd1 0.0000 0.0000 0.5000 1
Ni1 0.0000 0.0000 0.0000 1
Ni2 0.0000 0.5000 0.6309 1
Ni3 0.5000 0.5000 0.0000 1
Sn1 0.0000 0.5000 0.8751 1
Sn2 0.5000 0.5000 0.5000 1
```

Values from the calculation:
D(E_F): 8.2 states/eV/cell
Formation enthalpy at 0 K: -0.451 eV per atom
Total DFT energy (no corrections): -50.098 eV for the cell shown